1.
## Sr3LiEr3Te8 (PBE)

Data for an optimized crystal structure of Sr3LiEr3Te8.

Mass density, g/cm³: 5.7
Raw total energy, eV/atom: -4.470
Formation energy from raw total energies, eV/f.u.: -21.3

Cell lengths 9.129, 9.129, 9.129 Å; angles 58.41, 58.41, 58.41 degrees
Atoms (fractional coordinates):
Sr1 0.000 0.500 0.500
Sr2 0.500 0.000 0.500
Sr3 0.500 0.500 0.000
Li1 0.500 0.500 0.500
Er1 0.000 0.000 0.500
Er2 0.000 0.500 0.000
Er3 0.500 0.000 0.000
Te1 0.236 0.744 0.744
Te2 0.243 0.243 0.243
Te3 0.256 0.256 0.764
Te4 0.256 0.764 0.256
Te5 0.744 0.236 0.744
Te6 0.744 0.744 0.236
Te7 0.757 0.757 0.757
Te8 0.764 0.256 0.256

2.
## Sm3DyEr2Te6 (PBE)

Data for an optimized crystal structure of Sm3DyEr2Te6.

Mass density, g/cm³: 7.9
Raw total energy, eV/atom: -5.207
Formation energy from raw total energies, eV/f.u.: -15.7

Cell lengths 9.849, 9.849, 8.856 Å; angles 104.10, 104.10, 25.51 degrees
Atoms (fractional coordinates):
Sm1 0.000 0.000 0.000
Sm2 0.335 0.335 0.667
Sm3 0.665 0.665 0.333
Dy1 0.000 0.000 0.500
Er1 0.334 0.334 0.168
Er2 0.666 0.666 0.832
Te1 0.166 0.166 0.590
Te2 0.170 0.170 0.077
Te3 0.497 0.497 0.254
Te4 0.503 0.503 0.746
Te5 0.830 0.830 0.923
Te6 0.834 0.834 0.410

3.
## SmReTc2 (PBE)

Data for an optimized crystal structure of SmReTc2.

Mass density, g/cm³: 10.6
Raw total energy, eV/atom: -8.831

Cell lengths 5.420, 7.875, 3.892 Å; angles 90.00, 90.00, 90.00 degrees
Atoms (fractional coordinates):
Sm1 0.000 0.000 0.000
Sm2 0.500 0.500 0.000
Re1 0.000 0.500 0.000
Re2 0.500 0.000 0.000
Tc1 0.000 0.313 0.500
Tc2 0.000 0.687 0.500
Tc3 0.500 0.187 0.500
Tc4 0.500 0.813 0.500

4.
## UReC (PBE)

Data for an optimized crystal structure of UReC.

Mass density, g/cm³: 14.9
Raw total energy, eV/atom: -10.470

Cell lengths 11.188, 3.439, 5.204 Å; angles 90.00, 103.60, 90.00 degrees
Atoms (fractional coordinates):
U1 0.231 0.000 0.295
U2 0.269 0.500 0.705
U3 0.731 0.500 0.295
U4 0.769 0.000 0.705
Re1 0.017 0.500 0.276
Re2 0.483 0.000 0.724
Re3 0.517 0.000 0.276
Re4 0.983 0.500 0.724
C1 0.142 0.500 0.006
C2 0.358 0.000 0.994
C3 0.642 0.000 0.006
C4 0.858 0.500 0.994

5.
## Cr2SbP (PBE)

Data for an optimized crystal structure of Cr2SbP.

Mass density, g/cm³: 6.3
Raw total energy, eV/atom: -6.872
Formation energy from raw total energies, eV/f.u.: 1.3

Cell lengths 3.817, 3.817, 9.226 Å; angles 90.00, 90.00, 90.00 degrees
Atoms (fractional coordinates):
Cr1 0.000 0.000 0.000
Cr2 0.000 0.500 0.250
Cr3 0.500 0.000 0.750
Cr4 0.500 0.500 0.500
Sb1 0.000 0.000 0.500
Sb2 0.500 0.500 0.000
P1 0.000 0.500 0.750
P2 0.500 0.000 0.250

6.
## SrMo2W (PBE)

Data for an optimized crystal structure of SrMo2W.

Mass density, g/cm³: 10.2
Raw total energy, eV/atom: -7.888

Cell lengths 5.686, 9.904, 2.688 Å; angles 90.00, 90.00, 90.00 degrees
Atoms (fractional coordinates):
Sr1 0.000 0.000 0.000
Sr2 0.500 0.500 0.000
Mo1 0.250 0.250 0.500
Mo2 0.250 0.750 0.500
Mo3 0.750 0.250 0.500
Mo4 0.750 0.750 0.500
W1 0.000 0.500 0.000
W2 0.500 0.000 0.000

7.
## TiPdPb3 (PBE)

Data for an optimized crystal structure of TiPdPb3.

Mass density, g/cm³: 8.4
Raw total energy, eV/atom: -4.296

Cell lengths 5.349, 5.349, 5.349 Å; angles 90.00, 90.00, 90.00 degrees
Atoms (fractional coordinates):
Ti1 0.000 0.000 0.000
Pd1 0.500 0.500 0.500
Pb1 0.000 0.000 0.500
Pb2 0.000 0.500 0.000
Pb3 0.500 0.000 0.000

8.
## LiBi2As (PBE)

Data for an optimized crystal structure of LiBi2As.

Mass density, g/cm³: 8.2
Raw total energy, eV/atom: -3.637

Cell lengths 4.871, 4.871, 4.250 Å; angles 90.00, 90.00, 90.00 degrees
Atoms (fractional coordinates):
Li1 0.000 0.000 0.000
Bi1 0.000 0.500 0.500
Bi2 0.500 0.000 0.500
As1 0.500 0.500 0.000

9.
## SrCaCu2B (PBE)

Data for an optimized crystal structure of SrCaCu2B.

Mass density, g/cm³: 3.4
Raw total energy, eV/atom: -2.721

Cell lengths 5.158, 5.158, 4.916 Å; angles 90.00, 90.00, 90.00 degrees
Atoms (fractional coordinates):
Sr1 0.000 0.000 0.000
Ca1 0.500 0.500 0.500
Cu1 0.000 0.500 0.500
Cu2 0.500 0.000 0.500
B1 0.500 0.500 0.000